Entry 1:
{
  "formula": "UMn2Pt",
  "functional": "GGA-PBE",
  "state": "relaxed",
  "lattice_angstrom": [[3.786, 0.000, 0.000], [0.000, 4.097, 0.000], [0.000, 0.000, 4.097]],
  "species": ["Mn", "Mn", "U", "Pt"],
  "frac_coords": [[0.000, 0.500, 0.000], [0.000, 0.000, 0.500], [0.500, 0.500, 0.500], [0.500, 0.000, 0.000]],
  "delta_e_f_mev_per_atom": -244,
  "mass_density_g_cm3": 14.2,
  "magmom_total_mub_per_cell": 3.47,
  "spacegroup": "P4/mmm"
}

Entry 2:
{
  "formula": "CoAg2Cl",
  "functional": "GGA-PBE",
  "state": "relaxed",
  "lattice_angstrom": [[-1.504, 4.492, -4.579], [-4.752, 4.545, -0.410], [5.203, -2.911, 2.805]],
  "species": ["Co", "Ag", "Ag", "Cl"],
  "frac_coords": [[0.277, 0.777, 0.500], [0.720, 0.220, 0.500], [0.081, 0.081, 0.000], [0.423, 0.423, 0.000]],
  "mass_density_g_cm3": 6.6,
  "formation_energy_uncorrected_ev_per_atom": 0.219,
  "magmom_total_mub_per_cell": 1.74,
  "spacegroup": "Imm2"
}

Entry 3:
{
  "formula": "Er2ThH",
  "functional": "GGA-PBE",
  "state": "relaxed",
  "lattice_angstrom": [[-1.550, 2.616, -1.466], [-1.379, -2.088, -2.266], [-6.617, -1.098, 5.037]],
  "species": ["Er", "Er", "H", "Th"],
  "frac_coords": [[0.000, 0.000, 0.197], [0.000, 0.000, 0.803], [0.500, 0.500, 0.000], [0.500, 0.500, 0.500]],
  "mass_density_g_cm3": 9.9,
  "energy_ha_per_atom": -0.1773,
  "magmom_total_mub_per_cell": 0.00,
  "spacegroup": "P4/mmm"
}

Copy entry 1 word for word.
{
  "formula": "UMn2Pt",
  "functional": "GGA-PBE",
  "state": "relaxed",
  "lattice_angstrom": [[3.786, 0.000, 0.000], [0.000, 4.097, 0.000], [0.000, 0.000, 4.097]],
  "species": ["Mn", "Mn", "U", "Pt"],
  "frac_coords": [[0.000, 0.500, 0.000], [0.000, 0.000, 0.500], [0.500, 0.500, 0.500], [0.500, 0.000, 0.000]],
  "delta_e_f_mev_per_atom": -244,
  "mass_density_g_cm3": 14.2,
  "magmom_total_mub_per_cell": 3.47,
  "spacegroup": "P4/mmm"
}

Repeat the first record exactly.
{
  "formula": "UMn2Pt",
  "functional": "GGA-PBE",
  "state": "relaxed",
  "lattice_angstrom": [[3.786, 0.000, 0.000], [0.000, 4.097, 0.000], [0.000, 0.000, 4.097]],
  "species": ["Mn", "Mn", "U", "Pt"],
  "frac_coords": [[0.000, 0.500, 0.000], [0.000, 0.000, 0.500], [0.500, 0.500, 0.500], [0.500, 0.000, 0.000]],
  "delta_e_f_mev_per_atom": -244,
  "mass_density_g_cm3": 14.2,
  "magmom_total_mub_per_cell": 3.47,
  "spacegroup": "P4/mmm"
}